[1]
{"formula": "Zr2TiAu", "functional": "PBE", "state": "relaxed", "sg": "P4/mmm", "delta_e_f_ev_per_atom": -0.282, "lattice": [[-2.5706, 0.1797, 1.8527], [-1.6534, -1.6714, -2.1320], [2.1613, -6.8049, 3.6586]], "species": ["Au", "Zr", "Zr", "Ti"], "frac_coords": [[0.5000, 0.5000, 0.0000], [0.0000, 0.0000, 0.7489], [0.0000, 0.0000, 0.2511], [0.5000, 0.5000, 0.5000]]}

***

[2]
{"formula": "Y4PuS5", "functional": "PBE", "state": "relaxed", "raw_formation_energy_ev_per_atom": -1.9717, "sg": "Immm", "lattice": [[-3.2096, 0.3330, 2.2527], [-2.1631, -4.4943, -2.4177], [6.8712, -3.5920, 6.8835]], "species": ["Y", "Y", "Y", "Y", "Pu", "S", "S", "S", "S", "S"], "frac_coords": [[0.4009, 0.4009, 0.8017], [0.8019, 0.8019, 0.6037], [0.1981, 0.1981, 0.3963], [0.5991, 0.5991, 0.1983], [0.0000, 0.0000, 0.0000], [0.6004, 0.1004, 0.2008], [0.7995, 0.2995, 0.5989], [0.2005, 0.7005, 0.4011], [0.0000, 0.5000, 0.0000], [0.3996, 0.8996, 0.7992]]}